Material: FeGeMoO6
Method: DFT, GGA+U
State: relaxed

Its calculated density is 5.49 Mg/m³. For the electronic total energy, the calculation gives -6.8172 eV/atom. The total moment comes out at 12.0 Bohr magnetons per cell.

```
data_FeGeMoO6
_cell_length_a 4.591
_cell_length_b 4.591
_cell_length_c 9.191
_cell_angle_alpha 90.00
_cell_angle_beta 90.00
_cell_angle_gamma 90.00
_symmetry_space_group_name_H-M 'P 42 n m'
_symmetry_Int_Tables_number 102
loop_
_symmetry_equiv_pos_as_xyz
'x,y,z'
'-y+1/2,x+1/2,z+1/2'
'-x,-y,z'
'y+1/2,-x+1/2,z+1/2'
'-x+1/2,y+1/2,z+1/2'
'y,x,z'
'x+1/2,-y+1/2,z+1/2'
'-y,-x,z'
loop_
_atom_site_label
_atom_site_type_symbol
_atom_site_fract_x
_atom_site_fract_y
_atom_site_fract_z
_atom_site_occupancy
Fe1 Fe 0.000 0.000 0.000 1
Ge1 Ge 0.000 0.000 0.665 1
Mo1 Mo 0.000 0.000 0.333 1
O1 O 0.190 0.190 0.504 1
O2 O 0.196 0.196 0.824 1
O3 O 0.204 0.204 0.166 1
```